# 1
Compound: Li3ErBr6
Source: Alexandria
Functional: GGA-PBEsol
Structure: optimized geometry

E above lowest polymorph   0.004 eV per atom
Magnetization   0.001 Bohr magnetons per cell
E_form (uncorrected)   -1.67 eV per atom
Calculated density   4.43 Mg/m³

```
Li3ErBr6
1.0
-1.0961 1.2676 6.5267
5.1532 -3.9362 -1.8320
6.1788 11.0989 -2.2902
Br Li Er
12 6 2
Cartesian
4.3698 2.7540 0.2190
6.4349 9.1565 0.4440
5.3554 2.2896 3.8728
0.7969 1.4192 1.0065
9.4390 7.0111 1.3979
2.3256 4.4744 2.9331
3.8010 -0.7262 1.9604
1.7636 0.9523 4.7057
7.9103 3.9559 -0.5287
8.4723 7.4780 -2.3013
4.8805 6.1407 -1.4684
5.8661 5.6762 2.1854
3.0259 1.8962 2.5069
8.6826 9.5369 1.8566
1.5533 -1.1066 0.5478
7.2100 6.5341 -0.1025
6.5937 3.1543 1.6635
3.6422 5.2760 0.7409
-0.5481 0.6338 3.2633
5.6660 3.5813 -2.0611
```

***

# 2
Compound: ErMoBrO4
Source: Alexandria
Functional: GGA-PBEsol
Structure: optimized geometry

Magnetization   0.000 Bohr magnetons per cell
E_form (uncorrected)   -2.44 eV per atom
Calculated density   5.64 Mg/m³

```
ErMoBrO4
1.0
-6.2378 -2.8012 0.4413
1.7084 -1.1558 6.8611
-1.1621 10.6222 -0.3829
Er O Mo Br
4 16 4 4
Cartesian
-3.5747 0.3477 2.4854
-0.8872 0.8757 6.2222
-4.8044 5.7895 0.6973
-2.1169 6.3175 4.4341
-1.7905 6.3646 6.6495
-3.2117 -0.4337 4.5254
-2.4798 7.0989 2.3941
-1.8809 4.3637 3.3501
0.1166 6.2609 4.2465
-1.7374 -0.8077 1.9465
-5.8082 0.4043 2.6730
-3.8107 2.3015 3.5694
-0.7588 8.3205 0.4592
-3.9011 0.3006 0.2700
-1.0210 1.7636 4.1748
-3.9542 7.4729 4.9730
-4.6706 4.9016 2.7447
-3.5665 4.7421 5.3688
-2.1251 1.9231 1.5507
-4.9327 -1.6553 6.4603
-3.2925 -1.5608 5.8730
-2.3991 8.2260 1.0465
-1.1737 2.8437 2.8057
-4.5178 3.8215 4.1139
-2.2213 4.7762 0.0006
-1.1136 9.0937 4.6454
-3.4702 1.8890 6.9189
-4.5779 -2.4285 2.2741
```

***

# 3
Compound: Na3ErBr6
Source: Alexandria
Functional: GGA-PBEsol
Structure: optimized geometry

Magnetization   0.000 Bohr magnetons per cell
E_form (uncorrected)   -1.66 eV per atom
Calculated density   4.15 Mg/m³

```
Na3ErBr6
1.0
-5.1923 3.1835 -3.6182
-5.1506 -2.7985 4.9291
1.2146 8.5168 6.1046
Er Br Na
2 12 6
Cartesian
0.0000 0.0000 0.0000
-4.5642 4.4509 3.7077
-7.2089 4.3779 3.0303
-4.7389 6.6460 8.5937
-1.3138 7.5208 6.5280
-4.7353 7.1282 4.3462
-4.3894 2.2558 -1.1782
-5.1788 3.7392 6.2922
-4.3930 1.7736 3.0692
-3.9495 5.1626 1.1233
-0.7794 2.3468 1.2206
-1.9194 4.5240 4.3851
-7.8145 1.3810 0.8875
-8.3489 6.5550 6.1948
-5.1714 0.1925 0.6554
-2.3535 4.7725 7.3180
-7.1647 1.2323 3.9952
-6.7748 4.1293 0.0974
-1.9636 7.6695 3.4203
0.6073 4.2584 3.0523
```

***

# 4
Compound: Er4OsBr4
Source: Alexandria
Functional: GGA-PBEsol
Structure: optimized geometry

Magnetization   0.000 Bohr magnetons per cell
E_form (uncorrected)   -1.29 eV per atom
Calculated density   8.08 Mg/m³

```
Er4OsBr4
1.0
-0.4932 5.4046 -3.3883
-8.2996 0.8855 2.4618
2.4370 4.6661 6.9294
Er Os Br
8 2 8
Cartesian
-0.6879 6.6128 -1.3877
-7.1135 4.7247 2.2332
-6.4590 6.4796 -0.8248
-5.6679 4.3435 7.3905
0.7576 6.2316 3.7697
-4.2752 7.6231 6.3785
-2.0806 3.3333 -0.3756
0.1032 4.4767 6.8276
-8.3695 2.2555 1.6369
2.0137 8.7008 4.3659
-4.6413 4.5805 0.6975
-5.4873 5.6288 4.6616
-0.1728 3.3648 4.1484
-3.3201 9.1811 3.9719
-1.7145 6.3758 5.3054
-0.8685 5.3275 1.3412
-3.0358 1.7752 2.0310
-6.1830 7.5915 1.8544
```

***

# 5
Compound: EuBr3
Source: Alexandria
Functional: GGA-PBEsol
Structure: optimized geometry

Magnetization   12.071 Bohr magnetons per cell
E_form (uncorrected)   -1.59 eV per atom
Calculated density   5.55 Mg/m³

```
EuBr3
1.0
4.0597 0.0000 0.0000
-2.0299 6.4595 0.0000
0.0000 0.0000 8.9323
Eu Br
2 6
Cartesian
2.0299 3.1672 6.6992
0.0000 3.2923 2.2331
0.0000 1.1164 6.6992
2.0299 5.3431 2.2331
2.0299 1.8572 3.8945
0.0000 4.6024 8.3606
2.0299 1.8572 0.5717
0.0000 4.6024 5.0378
```

***

# 6
Compound: EuBr2
Source: Alexandria
Functional: GGA-PBEsol
Structure: optimized geometry

Magnetization   14.000 Bohr magnetons per cell
E_form (uncorrected)   -1.97 eV per atom
Calculated density   4.73 Mg/m³

```
EuBr2
1.0
4.5028 0.0000 0.0000
0.0000 6.9701 0.0000
0.0000 0.0000 6.9701
Br Eu
4 2
Cartesian
2.2514 1.3779 5.5922
0.0000 4.8629 4.8629
2.2514 5.5922 1.3779
0.0000 2.1072 2.1072
2.2514 3.4850 3.4850
0.0000 0.0000 0.0000
```